[1]
Material: Ac2WSe6
Method: DFT, PBE
State: optimized geometry

The structure belongs to space group P2_1/c (No. 14); the cell edges are 6.593, 7.915 and 11.524 Å and the angles 90.00°, 123.60° and 90.00°. The asymmetric unit holds Ac at (0.210, 0.107, 0.258), W at (0.500, 0.000, 0.000), Se at (0.130, 0.165, 0.958), Se at (0.291, 0.713, 0.958) and Se at (0.322, 0.014, 0.741).

For the calculated volume, the calculation gives 27.825 A^3/atom. For the raw total energy, the calculation gives -105.3 eV per cell. The value obtained for the energy relative to the elements, uncorrected is -1.177 eV/atom. For the magnetization, the calculation gives 0.00 μB/atom.

[2]
Material: Ac3YSe4
Method: DFT, PBE
State: optimized geometry

The structure belongs to space group P2/c (No. 13); the cell edges are 7.680, 8.671 and 7.545 Å and the angles 90.00°, 109.18° and 90.00°. The asymmetric unit holds Ac at (0.000, 0.124, 0.250), Ac at (0.000, 0.374, 0.750), Ac at (0.500, 0.127, 0.750), Y at (0.500, 0.375, 0.250), Se at (0.262, 0.135, 0.011) and Se at (0.269, 0.385, 0.500).

For the calculated volume, the calculation gives 29.659 A^3/atom. For the raw total energy, the calculation gives -94.6 eV per cell. The value obtained for the energy relative to the elements, uncorrected is -1.819 eV/atom. For the magnetization, the calculation gives 0.00 μB/atom.

[3]
Material: Ac4YSe5
Method: DFT, PBE
State: optimized geometry

The structure belongs to space group I4/mmm (No. 139); the cell edges are 4.407, 4.407 and 31.082 Å and the angles 90.00°, 90.00° and 90.00°. The asymmetric unit holds Ac at (0.000, 0.000, 0.100), Ac at (0.000, 0.000, 0.304), Y at (0.000, 0.000, 0.500), Se at (0.000, 0.000, 0.000), Se at (0.000, 0.000, 0.202) and Se at (0.000, 0.000, 0.407).

For the calculated volume, the calculation gives 30.187 A^3/atom. For the raw total energy, the calculation gives -116.8 eV per cell. The value obtained for the energy relative to the elements, uncorrected is -1.807 eV/atom. For the magnetization, the calculation gives 0.00 μB/atom.